(1)
Here is a relaxed structure of CsInSnSb2 from Alexandria via LeMat-Bulk. Energies are from GGA-PBE.

Values from the calculation:
DFT total energy: -3.36 eV per atom
magnetization: 0.0 μB/f.u.

Lattice parameters (Å, degrees): 15.5271 5.2346 10.8212 90.00 94.10 90.00
Space group C2/m (No. 12)
One atom of each set of equivalent atoms:
1 Cs 0.1535 0.0000 0.1774
2 In 0.0560 0.5000 0.7054
3 Sn 0.1826 0.0000 0.5684
4 Sb 0.1231 0.5000 0.4479
5 Sb 0.1244 0.0000 0.8151

=====

(2)
Here is a relaxed structure of Cs2In4Sn3Sb from Alexandria via LeMat-Bulk. Energies are from GGA-PBE.

Values from the calculation:
DFT total energy: -3.06 eV per atom
magnetization: 0.0 μB/f.u.

Lattice parameters (Å, degrees): 5.3754 5.3754 11.8156 90.00 90.00 90.00
Space group P-4m2 (No. 115)
One atom of each set of equivalent atoms:
1 Cs 0.0000 0.5000 0.2483
2 In 0.0000 0.0000 0.5000
3 In 0.0000 0.5000 0.8760
4 In 0.5000 0.5000 0.5000
5 Sn 0.0000 0.0000 0.0000
6 Sn 0.0000 0.5000 0.6257
7 Sb 0.5000 0.5000 0.0000

=====

(3)
Here is a relaxed structure of Cs2SrInSb2 from Alexandria via LeMat-Bulk. Energies are from GGA-PBE.

Values from the calculation:
DFT total energy: -2.94 eV per atom
magnetization: 0.0 μB/f.u.

Lattice parameters (Å, degrees): 7.6116 17.8924 7.8504 90.00 90.00 90.00
Space group Ibam (No. 72)
One atom of each set of equivalent atoms:
1 Cs 0.2336 0.1782 0.0000
2 Sr 0.0000 0.5000 0.2500
3 In 0.0000 0.0000 0.2500
4 Sb 0.2349 0.0976 0.5000

=====

(4)
Here is a relaxed structure of CsIn2SbTe from Alexandria via LeMat-Bulk. Energies are from GGA-PBE.

Values from the calculation:
DFT total energy: -2.46 eV per atom
magnetization: 1.3 μB/f.u.

Lattice parameters (Å, degrees): 6.0303 6.0303 7.0797 90.00 90.00 90.00
Space group P4/mmm (No. 123)
One atom of each set of equivalent atoms:
1 Cs 0.0000 0.0000 0.0000
2 In 0.0000 0.5000 0.5000
3 Sb 0.5000 0.5000 0.0000
4 Te 0.0000 0.0000 0.5000

=====

- The lowest DFT total energy belongs to which entry?
  CsInSnSb2